Arrangement a

# LiGaSn3, optimized geometry, DFT PBE
data_LiGaSn3
_cell_length_a 5.052
_cell_length_b 5.052
_cell_length_c 5.052
_cell_angle_alpha 90.00
_cell_angle_beta 90.00
_cell_angle_gamma 90.00
_symmetry_space_group_name_H-M 'P 1'
_symmetry_Int_Tables_number 1
loop_
_symmetry_equiv_pos_as_xyz
'x,y,z'
loop_
_atom_site_label
_atom_site_type_symbol
_atom_site_fract_x
_atom_site_fract_y
_atom_site_fract_z
_atom_site_occupancy
Li1 Li 0.000 0.000 0.000 1
Ga1 Ga 0.500 0.500 0.500 1
Sn1 Sn 0.000 0.000 0.500 1
Sn2 Sn 0.000 0.500 0.000 1
Sn3 Sn 0.500 0.000 0.000 1
# total moment: 0.0 μB/cell
# space group: Pm-3m
# density of states at the Fermi level: 3.06 states/eV/cell

=====

Arrangement b

# LiGaSn3, optimized geometry, DFT PBE
data_LiGaSn3
_cell_length_a 6.476
_cell_length_b 6.476
_cell_length_c 6.476
_cell_angle_alpha 74.26
_cell_angle_beta 74.26
_cell_angle_gamma 74.26
_symmetry_space_group_name_H-M 'P 1'
_symmetry_Int_Tables_number 1
loop_
_symmetry_equiv_pos_as_xyz
'x,y,z'
loop_
_atom_site_label
_atom_site_type_symbol
_atom_site_fract_x
_atom_site_fract_y
_atom_site_fract_z
_atom_site_occupancy
Li1 Li 0.105 0.105 0.105 1
Li2 Li 0.895 0.895 0.895 1
Ga1 Ga 0.408 0.408 0.408 1
Ga2 Ga 0.592 0.592 0.592 1
Sn1 Sn 0.001 0.245 0.541 1
Sn2 Sn 0.245 0.541 0.001 1
Sn3 Sn 0.459 0.999 0.755 1
Sn4 Sn 0.541 0.001 0.245 1
Sn5 Sn 0.755 0.459 0.999 1
Sn6 Sn 0.999 0.755 0.459 1
# total moment: 0.0 μB/cell
# space group: R-3
# density of states at the Fermi level: 4.47 states/eV/cell

=====

Energy relative to the most stable one, in meV/atom: arrangement a 234; arrangement b 0